Below is SrSb2Pb after structural relaxation, with properties calculated at the PBE level.

a b c (Å): 8.2479 8.2479 7.3869
angles (deg): 56.06 56.06 90.00
Closest atoms and distances in Å follow each position.
Sites, in units of the cell vectors:
Pb: 0.0000 0.0000 0.0000  4 Sb 2.91
Pb: 0.7500 0.2500 0.5000  4 Sb 2.91
Sb: 0.6667 0.1250 0.2500  2 Pb 2.91
Sb: 0.0833 0.6250 0.2500  2 Pb 2.91
Sb: 0.3750 0.3333 0.7500  2 Pb 2.91
Sb: 0.8750 0.9167 0.7500  2 Pb 2.91
Sr: 0.5000 0.5000 0.0000  4 Sb 3.37
Sr: 0.2500 0.7500 0.5000  4 Sb 3.37

Summary:
Crystal system: tetragonal
Formation energy (no corrections), eV/atom: -0.220
DOS(E_F), states/eV per cell: 2.5
M_tot, μB/f.u.: 0.0

=====

Below is KPb2Cl after structural relaxation, with properties calculated at the PBE level.

a b c (Å): 7.3546 7.3546 3.4703
angles (deg): 90.00 90.00 131.31
Closest atoms and distances in Å follow each position.
Sites, in units of the cell vectors:
Pb: 0.0000 0.0000 0.0000  2 Pb 3.03
Pb: 0.5000 0.5000 0.0000  2 Pb 3.03
K: 0.0000 0.5000 0.5000  2 Cl 3.03
Cl: 0.5000 0.0000 0.5000  2 K 3.03

Summary:
ΔE to the lowest computed polymorph, eV/f.u.: 1.51
Crystal system: orthorhombic
Formation energy (no corrections), eV/atom: -0.329
DOS(E_F), states/eV per cell: 3.0
M_tot, μB/f.u.: 0.0

=====

Below is SmHf2Pt9 after structural relaxation, with properties calculated at the PBE level.

a b c (Å): 4.0787 4.0787 12.2326
angles (deg): 90.00 90.00 90.00
Closest atoms and distances in Å follow each position.
Sites, in units of the cell vectors:
Sm: 0.0000 0.0000 0.0000  12 Pt 2.88-2.98
Hf: 0.0000 0.0000 0.3351  12 Pt 2.80-2.88
Hf: 0.0000 0.0000 0.6649  12 Pt 2.80-2.88
Pt: 0.5000 0.5000 0.0000  4 Sm 2.88, 8 Pt 2.98
Pt: 0.5000 0.5000 0.3390  8 Pt 2.84, 4 Hf 2.88
Pt: 0.5000 0.5000 0.6610  8 Pt 2.84, 4 Hf 2.88
Pt: 0.5000 0.0000 0.1779  2 Hf 2.80, 8 Pt 2.84-2.98, 2 Sm 2.98
Pt: 0.5000 0.0000 0.5000  8 Pt 2.84-2.88, 4 Hf 2.87
Pt: 0.5000 0.0000 0.8221  2 Hf 2.80, 8 Pt 2.84-2.98, 2 Sm 2.98
Pt: 0.0000 0.5000 0.1779  2 Hf 2.80, 8 Pt 2.84-2.98, 2 Sm 2.98
Pt: 0.0000 0.5000 0.5000  8 Pt 2.84-2.88, 4 Hf 2.87
Pt: 0.0000 0.5000 0.8221  2 Hf 2.80, 8 Pt 2.84-2.98, 2 Sm 2.98

Summary:
Crystal system: tetragonal
DOS(E_F), states/eV per cell: 2.3
Energy of formation from the pure elements, eV/atom: -1.0649
M_tot, μB/f.u.: 0.0

=====

Below is NpScZn4 after structural relaxation, with properties calculated at the PBE level.

a b c (Å): 5.3484 5.3484 5.3484
angles (deg): 60.00 60.00 60.00
Closest atoms and distances in Å follow each position.
Sites, in units of the cell vectors:
Np: 0.0000 0.0000 0.0000  12 Zn 3.14, 4 Sc 3.28
Sc: 0.2500 0.2500 0.2500  12 Zn 3.13, 4 Np 3.28
Zn: 0.6246 0.6246 0.1261  6 Zn 2.67-2.68
Zn: 0.6246 0.1261 0.6246  6 Zn 2.67-2.68
Zn: 0.6246 0.6246 0.6246  6 Zn 2.67-2.68
Zn: 0.1261 0.6246 0.6246  6 Zn 2.67-2.68

Summary:
Crystal system: cubic
DOS(E_F), states/eV per cell: 7.4
Energy of formation from the pure elements, eV/atom: -0.0824
M_tot, μB/f.u.: 4.0

=====

Below is TbCrBr6 after structural relaxation, with properties calculated at the PBE level.

a b c (Å): 6.7586 6.7587 7.2351
angles (deg): 62.16 62.16 60.00
Closest atoms and distances in Å follow each position.
Sites, in units of the cell vectors:
Tb: 0.5000 0.5000 0.5000  6 Br 2.84
Cr: 0.0000 0.0000 0.0000  6 Br 2.54
Br: 0.0791 0.3877 0.7625  1 Cr 2.54, 1 Tb 2.84
Br: 0.7708 0.0791 0.7625  1 Cr 2.54, 1 Tb 2.84
Br: 0.6123 0.2292 0.2376  1 Cr 2.54, 1 Tb 2.84
Br: 0.2292 0.9209 0.2375  1 Cr 2.54, 1 Tb 2.84
Br: 0.9209 0.6123 0.2375  1 Cr 2.54, 1 Tb 2.84
Br: 0.3877 0.7708 0.7624  1 Cr 2.54, 1 Tb 2.84

Summary:
Crystal system: trigonal
Formation energy (no corrections), eV/atom: -1.208
M_tot, μB/f.u.: 3.0

=====

Below is TbPaSe3 after structural relaxation, with properties calculated at the PBE level.

a b c (Å): 4.1092 7.1862 10.3968
angles (deg): 101.65 90.00 90.00
Closest atoms and distances in Å follow each position.
Sites, in units of the cell vectors:
Tb: 0.2500 0.7358 0.9800  6 Se 2.85-2.95
Tb: 0.7500 0.2642 0.0200  6 Se 2.85-2.95
Pa: 0.2500 0.8583 0.3423  6 Se 2.84-2.98
Pa: 0.7500 0.1417 0.6577  6 Se 2.84-2.98
Se: 0.2500 0.0555 0.8448  3 Tb 2.92-2.95, 2 Pa 2.98
Se: 0.7500 0.9445 0.1552  3 Tb 2.92-2.95, 2 Pa 2.98
Se: 0.2500 0.4848 0.1676  3 Tb 2.85-2.91, 1 Pa 2.92
Se: 0.7500 0.5152 0.8324  3 Tb 2.85-2.91, 1 Pa 2.92
Se: 0.2500 0.2371 0.4937  3 Pa 2.84-2.86
Se: 0.7500 0.7629 0.5063  3 Pa 2.84-2.86

Summary:
ΔE to the lowest computed polymorph, eV/f.u.: 0.00
Crystal system: monoclinic
Formation energy (no corrections), eV/atom: -1.501
DOS(E_F), states/eV per cell: 11.7
M_tot, μB/f.u.: 1.7

=====

Below is K3Li5 after structural relaxation, with properties calculated at the PBE level.

a b c (Å): 7.6507 7.6507 5.2801
angles (deg): 90.00 90.00 96.96
Closest atoms and distances in Å follow each position.
Sites, in units of the cell vectors:
K: 0.5000 0.5000 0.0000  8 Li 3.83-3.89, 4 K 3.97
K: 0.7587 0.2413 0.5000  8 Li 3.54-3.82
K: 0.2413 0.7587 0.5000  8 Li 3.54-3.82
Li: 0.0000 0.0000 0.0000  8 Li 3.44-3.83, 4 K 3.82
Li: 0.0000 0.5000 0.0000  6 K 3.66-3.83, 6 Li 3.83-3.91
Li: 0.5000 0.0000 0.0000  6 K 3.66-3.83, 6 Li 3.83-3.91
Li: 0.2177 0.2177 0.5000  2 Li 3.44, 2 K 3.54
Li: 0.7823 0.7823 0.5000  2 Li 3.44, 2 K 3.54

Summary:
ΔE to the lowest computed polymorph, eV/f.u.: 0.59
Crystal system: orthorhombic
DOS(E_F), states/eV per cell: 5.2
Energy of formation from the pure elements, eV/atom: 0.2005
M_tot, μB/f.u.: 0.0

=====

Below is NiPtCl after structural relaxation, with properties calculated at the PBE level.

a b c (Å): 4.2062 4.2062 4.2062
angles (deg): 60.00 60.00 60.00
Closest atoms and distances in Å follow each position.
Sites, in units of the cell vectors:
Cl: 0.5000 0.5000 0.5000  4 Ni 2.58
Ni: 0.7500 0.7500 0.7500  4 Pt 2.58, 4 Cl 2.58
Pt: 0.0000 0.0000 0.0000  4 Ni 2.58

Summary:
ΔE to the lowest computed polymorph, eV/f.u.: 2.08
Crystal system: cubic
Formation energy (no corrections), eV/atom: 0.666
DOS(E_F), states/eV per cell: 5.9
M_tot, μB/f.u.: 1.3

=====

Below is LiNd2S3 after structural relaxation, with properties calculated at the PBE level.

a b c (Å): 4.0068 5.6954 6.9367
angles (deg): 114.24 106.79 90.00
Closest atoms and distances in Å follow each position.
Sites, in units of the cell vectors:
Li: 0.5000 0.5000 0.5000  6 S 2.77-2.85
Nd: 0.8346 0.8346 0.1692  6 S 2.82-2.90
Nd: 0.1654 0.1654 0.8308  6 S 2.82-2.90
S: 0.8400 0.3400 0.1800  2 Li 2.77, 4 Nd 2.85-2.90
S: 0.1600 0.6600 0.8200  2 Li 2.77, 4 Nd 2.85-2.90
S: 0.5000 0.0000 0.5000  4 Nd 2.82, 2 Li 2.85

Summary:
ΔE to the lowest computed polymorph, eV/f.u.: 0.00
Crystal system: orthorhombic
Formation energy (no corrections), eV/atom: -1.866
DOS(E_F), states/eV per cell: 1.7
M_tot, μB/f.u.: 0.0

=====

Below is Pm2Pr9Y after structural relaxation, with properties calculated at the PBE level.

a b c (Å): 5.2231 5.2231 15.6624
angles (deg): 90.00 90.00 90.00
Closest atoms and distances in Å follow each position.
Sites, in units of the cell vectors:
Pm: 0.0000 0.0000 0.3325  12 Pr 3.69-3.70
Pm: 0.0000 0.0000 0.6675  12 Pr 3.69-3.70
Pr: 0.5000 0.5000 0.0000  8 Pr 3.68, 4 Y 3.69
Pr: 0.5000 0.5000 0.3327  8 Pr 3.69-3.70, 4 Pm 3.69
Pr: 0.5000 0.5000 0.6673  8 Pr 3.69-3.70, 4 Pm 3.69
Pr: 0.5000 0.0000 0.1659  8 Pr 3.68-3.69, 2 Y 3.68, 2 Pm 3.69
Pr: 0.5000 0.0000 0.5000  8 Pr 3.69-3.70, 4 Pm 3.70
Pr: 0.5000 0.0000 0.8341  2 Y 3.68, 8 Pr 3.68-3.69, 2 Pm 3.69
Pr: 0.0000 0.5000 0.1659  8 Pr 3.68-3.69, 2 Y 3.68, 2 Pm 3.69
Pr: 0.0000 0.5000 0.5000  8 Pr 3.69-3.70, 4 Pm 3.70
Pr: 0.0000 0.5000 0.8341  8 Pr 3.68-3.69, 2 Y 3.68, 2 Pm 3.69
Y: 0.0000 0.0000 0.0000  12 Pr 3.68-3.69

Summary:
Crystal system: tetragonal
DOS(E_F), states/eV per cell: 20.6
Energy of formation from the pure elements, eV/atom: 0.0122
M_tot, μB/f.u.: 0.0

=====

Below is KCuBr2F8 after structural relaxation, with properties calculated at the PBE level.

a b c (Å): 5.9918 6.5064 7.6583
angles (deg): 54.87 66.97 62.58
Closest atoms and distances in Å follow each position.
Sites, in units of the cell vectors:
K: 0.5000 0.5000 0.5000  6 F 2.68-2.72
Cu: 0.0000 0.0000 0.0000  4 F 1.78
Br: 0.2641 0.2768 0.1950  2 F 1.88-1.90
Br: 0.7359 0.7232 0.8050  2 F 1.88-1.90
F: 0.7305 0.0146 0.5244  1 Br 1.88
F: 0.7444 0.4235 0.0876  1 Br 1.90
F: 0.2695 0.9854 0.4756  1 Br 1.88
F: 0.2556 0.5765 0.9124  1 Br 1.90
F: 0.7947 0.8033 0.1880  1 Cu 1.78
F: 0.2053 0.1967 0.8120  1 Cu 1.78
F: 0.2140 0.8033 0.1880  1 Cu 1.78
F: 0.7860 0.1967 0.8120  1 Cu 1.78

Summary:
Crystal system: monoclinic
Formation energy (no corrections), eV/atom: -1.268
DOS(E_F), states/eV per cell: 8.4
M_tot, μB/f.u.: 2.0

=====

Below is Ac3CdPtRh after structural relaxation, with properties calculated at the PBE level.

a b c (Å): 4.3812 9.8483 9.6325
angles (deg): 109.33 90.00 90.00
Closest atoms and distances in Å follow each position.
Sites, in units of the cell vectors:
Ac: 0.2500 0.7283 0.5020  1 Rh 2.94, 2 Pt 3.06
Ac: 0.7500 0.8705 0.2048  2 Rh 3.03, 3 Pt 3.12-3.39
Ac: 0.7500 0.4328 0.1418  3 Rh 2.94-3.01
Ac: 0.7500 0.2717 0.4980  1 Rh 2.94, 2 Pt 3.06
Ac: 0.2500 0.5672 0.8582  3 Rh 2.94-3.01
Ac: 0.2500 0.1295 0.7952  2 Rh 3.03, 3 Pt 3.12-3.39
Cd: 0.7500 0.8442 0.8181  1 Pt 2.90
Cd: 0.2500 0.1558 0.1819  1 Pt 2.90
Pt: 0.2500 0.0423 0.4242  2 Pt 2.90, 1 Cd 2.90, 4 Ac 3.06-3.12
Pt: 0.7500 0.9577 0.5758  2 Pt 2.90, 1 Cd 2.90, 4 Ac 3.06-3.12
Rh: 0.2500 0.6520 0.1805  6 Ac 2.94-3.03
Rh: 0.7500 0.3480 0.8195  6 Ac 2.94-3.03

Summary:
Crystal system: monoclinic
DOS(E_F), states/eV per cell: 8.7
Energy of formation from the pure elements, eV/atom: -0.6776
M_tot, μB/f.u.: 0.0